# Dy5ErTl2

A relaxed Dy5ErTl2 crystal (PBE, Alexandria via LeMat-Bulk).

Properties
As for the space group: Immm (71).

Cell: 3.5760 10.5170 12.6808 Å, 90.00 90.00 90.00°
With the nearest neighbours (Å) after each atom.
Sites, in units of the cell vectors:
Dy 0.0000 0.0000 0.0000  2 Tl 3.31, 10 Dy 3.45-3.58
Dy 0.0000 0.2703 0.3670  3 Tl 3.14-3.42, 5 Dy 3.37-3.49
Dy 0.0000 0.2703 0.6330  3 Tl 3.14-3.42, 5 Dy 3.37-3.49
Dy 0.0000 0.7297 0.3670  3 Tl 3.14-3.42, 5 Dy 3.37-3.49
Dy 0.0000 0.7297 0.6330  3 Tl 3.14-3.42, 5 Dy 3.37-3.49
Dy 0.5000 0.2297 0.1330  3 Tl 3.14-3.42, 5 Dy 3.37-3.49
Dy 0.5000 0.2297 0.8670  3 Tl 3.14-3.42, 5 Dy 3.37-3.49
Dy 0.5000 0.5000 0.5000  2 Tl 3.31, 10 Dy 3.45-3.58
Dy 0.5000 0.7703 0.1330  3 Tl 3.14-3.42, 5 Dy 3.37-3.49
Dy 0.5000 0.7703 0.8670  3 Tl 3.14-3.42, 5 Dy 3.37-3.49
Er 0.0000 0.5000 0.0000  4 Tl 3.52, 2 Er 3.58, 8 Dy 3.76
Er 0.5000 0.0000 0.5000  4 Tl 3.52, 2 Er 3.58, 8 Dy 3.76
Tl 0.0000 0.0000 0.2612  7 Dy 3.14-3.42, 2 Er 3.52
Tl 0.0000 0.0000 0.7388  7 Dy 3.14-3.42, 2 Er 3.52
Tl 0.5000 0.5000 0.2388  7 Dy 3.14-3.42, 2 Er 3.52
Tl 0.5000 0.5000 0.7612  7 Dy 3.14-3.42, 2 Er 3.52

---

# DyEr5Tl4

A relaxed DyEr5Tl4 crystal (PBE, Alexandria via LeMat-Bulk).

Properties
As for the space group: P4/mmm (123).

Cell: 3.5963 3.5963 21.4932 Å, 90.00 90.00 90.00°
With the nearest neighbours (Å) after each atom.
Sites, in units of the cell vectors:
Dy 0.0000 0.0000 0.0000  8 Er 3.52, 4 Dy 3.60
Er 0.5000 0.5000 0.1133  4 Tl 3.28, 4 Dy 3.52, 4 Er 3.60
Er 0.5000 0.5000 0.3059  8 Tl 3.27-3.29, 4 Er 3.60
Er 0.5000 0.5000 0.5000  8 Tl 3.28, 4 Er 3.60
Er 0.5000 0.5000 0.6941  8 Tl 3.27-3.29, 4 Er 3.60
Er 0.5000 0.5000 0.8867  4 Tl 3.28, 4 Dy 3.52, 4 Er 3.60
Tl 0.0000 0.0000 0.2100  8 Er 3.27-3.28, 4 Tl 3.60
Tl 0.0000 0.0000 0.4033  8 Er 3.28-3.29, 4 Tl 3.60
Tl 0.0000 0.0000 0.5967  8 Er 3.28-3.29, 4 Tl 3.60
Tl 0.0000 0.0000 0.7900  8 Er 3.27-3.28, 4 Tl 3.60

---

# Dy2Er3Tl3

A relaxed Dy2Er3Tl3 crystal (PBE, Alexandria via LeMat-Bulk).

Properties
The calculation puts the energy above the lowest structure with this stoichiometry at 0.21 eV/f.u. As for the space group: Pmmm (47).

Cell: 4.9406 4.9494 9.0653 Å, 90.00 90.00 90.00°
With the nearest neighbours (Å) after each atom.
Sites, in units of the cell vectors:
Dy 0.0000 0.0000 0.2386  6 Tl 3.28-3.43, 6 Er 3.42-3.50
Dy 0.0000 0.0000 0.7614  6 Tl 3.28-3.43, 6 Er 3.42-3.50
Er 0.5000 0.0000 0.5000  4 Dy 3.42, 4 Er 3.44, 4 Tl 3.50
Er 0.5000 0.5000 0.2364  6 Tl 3.27-3.44, 2 Er 3.44, 4 Dy 3.50
Er 0.5000 0.5000 0.7636  6 Tl 3.27-3.44, 2 Er 3.44, 4 Dy 3.50
Tl 0.0000 0.5000 0.0000  4 Er 3.27, 4 Dy 3.29, 4 Tl 3.50
Tl 0.0000 0.5000 0.5000  4 Dy 3.43, 8 Er 3.44-3.50
Tl 0.5000 0.0000 0.0000  4 Er 3.27, 4 Dy 3.28, 4 Tl 3.50

---

# Dy2Er3Tl3

A relaxed Dy2Er3Tl3 crystal (PBE, Alexandria via LeMat-Bulk).

Properties
The calculation puts the energy above the lowest structure with this stoichiometry at 0.00 eV/f.u. As for the space group: Immm (71).

Cell: 3.7421 5.3457 22.4632 Å, 90.00 90.00 90.00°
With the nearest neighbours (Å) after each atom.
Sites, in units of the cell vectors:
Dy 0.0000 0.0000 0.2352  2 Tl 3.22, 4 Dy 3.33
Dy 0.0000 0.0000 0.7648  2 Tl 3.22, 4 Dy 3.33
Dy 0.5000 0.5000 0.2648  2 Tl 3.22, 4 Dy 3.33
Dy 0.5000 0.5000 0.7352  2 Tl 3.22, 4 Dy 3.33
Er 0.0000 0.0000 0.0000  8 Tl 3.26
Er 0.0000 0.5000 0.1260  6 Tl 3.27-3.39, 4 Dy 3.63-3.64
Er 0.0000 0.5000 0.8740  6 Tl 3.27-3.39, 4 Dy 3.63-3.64
Er 0.5000 0.0000 0.3740  6 Tl 3.27-3.39, 4 Dy 3.63-3.64
Er 0.5000 0.0000 0.6260  6 Tl 3.27-3.39, 4 Dy 3.63-3.64
Er 0.5000 0.5000 0.5000  8 Tl 3.26
Tl 0.0000 0.0000 0.5000  8 Er 3.26-3.39
Tl 0.0000 0.5000 0.3813  2 Dy 3.22, 6 Er 3.26-3.27
Tl 0.0000 0.5000 0.6187  2 Dy 3.22, 6 Er 3.26-3.27
Tl 0.5000 0.0000 0.1187  2 Dy 3.22, 6 Er 3.26-3.27
Tl 0.5000 0.0000 0.8813  2 Dy 3.22, 6 Er 3.26-3.27
Tl 0.5000 0.5000 0.0000  8 Er 3.26-3.39

---

# Dy4Er3Tl2

A relaxed Dy4Er3Tl2 crystal (PBE, Alexandria via LeMat-Bulk).

Properties
As for the space group: C2/m (12).

Cell: 6.5955 6.5955 10.1528 Å, 122.45 122.45 48.03°
With the nearest neighbours (Å) after each atom.
Sites, in units of the cell vectors:
Dy 0.0988 0.0988 0.4290  3 Tl 3.17-3.25, 1 Dy 3.43, 2 Er 3.50
Dy 0.2664 0.2664 0.9170  2 Tl 3.15-3.31, 2 Dy 3.31, 2 Er 3.32
Dy 0.7336 0.7336 0.0830  2 Tl 3.15-3.31, 2 Dy 3.31, 2 Er 3.32
Dy 0.9012 0.9012 0.5710  3 Tl 3.17-3.25, 1 Dy 3.43, 2 Er 3.50
Er 0.0000 0.0000 0.0000  4 Tl 3.43, 2 Er 3.54, 8 Dy 3.61-3.78
Er 0.3542 0.3542 0.3214  1 Tl 3.22, 2 Er 3.24-3.54, 5 Dy 3.32-3.59
Er 0.6458 0.6458 0.6786  1 Tl 3.22, 2 Er 3.24-3.54, 5 Dy 3.32-3.59
Tl 0.4162 0.4162 0.7469  5 Dy 3.15-3.31, 3 Er 3.22-3.43
Tl 0.5838 0.5838 0.2531  5 Dy 3.15-3.31, 3 Er 3.22-3.43

---

# Dy6Er2Tl

A relaxed Dy6Er2Tl crystal (PBE, Alexandria via LeMat-Bulk).

Properties
The calculation puts the energy above the lowest structure with this stoichiometry at 0.00 eV/f.u. As for the space group: P4_2/mnm (136).

Cell: 10.5811 10.5811 4.8703 Å, 90.00 90.00 90.00°
With the nearest neighbours (Å) after each atom.
Sites, in units of the cell vectors:
Dy 0.0006 0.3356 0.0000  8 Dy 3.46-3.58, 3 Er 3.50-3.57, 1 Tl 3.55
Dy 0.1622 0.1622 0.5000  4 Er 3.43-3.58, 2 Tl 3.44, 6 Dy 3.50-3.58
Dy 0.1644 0.5006 0.5000  8 Dy 3.46-3.58, 3 Er 3.50-3.57, 1 Tl 3.55
Dy 0.3356 0.0006 0.0000  8 Dy 3.46-3.58, 3 Er 3.50-3.57, 1 Tl 3.55
Dy 0.3378 0.6622 0.0000  4 Er 3.43-3.58, 2 Tl 3.44, 6 Dy 3.50-3.58
Dy 0.4994 0.8356 0.5000  8 Dy 3.46-3.58, 3 Er 3.50-3.57, 1 Tl 3.55
Dy 0.5006 0.1644 0.5000  8 Dy 3.46-3.58, 3 Er 3.50-3.57, 1 Tl 3.55
Dy 0.6622 0.3378 0.0000  4 Er 3.43-3.58, 2 Tl 3.44, 6 Dy 3.50-3.58
Dy 0.6644 0.9994 0.0000  8 Dy 3.46-3.58, 3 Er 3.50-3.57, 1 Tl 3.55
Dy 0.8356 0.4994 0.5000  8 Dy 3.46-3.58, 3 Er 3.50-3.57, 1 Tl 3.55
Dy 0.8378 0.8378 0.5000  4 Er 3.43-3.58, 2 Tl 3.44, 6 Dy 3.50-3.58
Dy 0.9994 0.6644 0.0000  8 Dy 3.46-3.58, 3 Er 3.50-3.57, 1 Tl 3.55
Er 0.1624 0.8376 0.5000  10 Dy 3.43-3.58, 2 Tl 3.44
Er 0.3376 0.3376 0.0000  10 Dy 3.43-3.58, 2 Tl 3.44
Er 0.6624 0.6624 0.0000  10 Dy 3.43-3.58, 2 Tl 3.44
Er 0.8376 0.1624 0.5000  10 Dy 3.43-3.58, 2 Tl 3.44
Tl 0.0000 0.0000 0.0000  8 Dy 3.44-3.55, 4 Er 3.44
Tl 0.5000 0.5000 0.5000  8 Dy 3.44-3.55, 4 Er 3.44

---

# Dy8ErTl6

A relaxed Dy8ErTl6 crystal (PBE, Alexandria via LeMat-Bulk).

Properties
As for the space group: R-3 (148).

Cell: 8.3509 8.3509 8.3509 Å, 65.95 65.95 65.95°
With the nearest neighbours (Å) after each atom.
Sites, in units of the cell vectors:
Dy 0.0579 0.7243 0.3911  5 Tl 3.13-3.37
Dy 0.1666 0.1666 0.1666  6 Tl 3.28
Dy 0.2757 0.6089 0.9421  5 Tl 3.13-3.37
Dy 0.3911 0.0579 0.7243  5 Tl 3.13-3.37
Dy 0.6089 0.9421 0.2757  5 Tl 3.13-3.37
Dy 0.7243 0.3911 0.0579  5 Tl 3.13-3.37
Dy 0.8334 0.8334 0.8334  6 Tl 3.28
Dy 0.9421 0.2757 0.6089  5 Tl 3.13-3.37
Er 0.5000 0.5000 0.5000  6 Tl 3.27
Tl 0.1036 0.4361 0.7683  7 Dy 3.13-3.37, 1 Er 3.27
Tl 0.2317 0.8964 0.5639  7 Dy 3.13-3.37, 1 Er 3.27
Tl 0.4361 0.7683 0.1036  7 Dy 3.13-3.37, 1 Er 3.27
Tl 0.5639 0.2317 0.8964  7 Dy 3.13-3.37, 1 Er 3.27
Tl 0.7683 0.1036 0.4361  7 Dy 3.13-3.37, 1 Er 3.27
Tl 0.8964 0.5639 0.2317  7 Dy 3.13-3.37, 1 Er 3.27

---

# Dy6ErTl5

A relaxed Dy6ErTl5 crystal (PBE, Alexandria via LeMat-Bulk).

Properties
The calculation puts the energy above the lowest structure with this stoichiometry at 1.08 eV/f.u. As for the space group: C2/m (12).

Cell: 7.6141 7.6141 6.2521 Å, 98.64 98.64 94.38°
With the nearest neighbours (Å) after each atom.
Sites, in units of the cell vectors:
Dy 0.0533 0.4053 0.7384  5 Tl 3.17-3.47, 1 Er 3.52, 1 Dy 3.52
Dy 0.2260 0.2260 0.2279  5 Tl 3.18-3.36, 1 Er 3.44
Dy 0.4053 0.0533 0.7384  5 Tl 3.17-3.47, 1 Er 3.52, 1 Dy 3.52
Dy 0.5947 0.9467 0.2616  5 Tl 3.17-3.47, 1 Er 3.52, 1 Dy 3.52
Dy 0.7740 0.7740 0.7721  5 Tl 3.18-3.36, 1 Er 3.44
Dy 0.9467 0.5947 0.2616  5 Tl 3.17-3.47, 1 Er 3.52, 1 Dy 3.52
Er 0.5000 0.5000 0.0000  6 Tl 3.38-3.51, 6 Dy 3.44-3.52
Tl 0.0000 0.0000 0.5000  6 Dy 3.18-3.19
Tl 0.1975 0.8025 0.0000  6 Dy 3.17-3.30, 1 Er 3.38
Tl 0.3580 0.6420 0.5000  1 Tl 3.17, 6 Dy 3.23-3.47, 2 Er 3.51
Tl 0.6420 0.3580 0.5000  1 Tl 3.17, 6 Dy 3.23-3.47, 2 Er 3.51
Tl 0.8025 0.1975 0.0000  6 Dy 3.17-3.30, 1 Er 3.38

---

# Dy2Er7Tl2

A relaxed Dy2Er7Tl2 crystal (PBE, Alexandria via LeMat-Bulk).

Properties
As for the space group: Imm2 (44).

Cell: 11.0544 11.0544 11.0544 Å, 161.12 55.23 128.62°
With the nearest neighbours (Å) after each atom.
Sites, in units of the cell vectors:
Dy 0.0000 0.0000 0.0000  8 Er 3.47-3.60, 4 Dy 3.63
Dy 0.6724 0.1724 0.5000  7 Er 3.13-3.44
Er 0.0057 0.1647 0.8410  3 Tl 3.17-3.37, 1 Dy 3.49, 2 Er 3.52
Er 0.3237 0.1647 0.1590  3 Tl 3.17-3.37, 1 Dy 3.49, 2 Er 3.52
Er 0.3250 0.8250 0.5000  3 Dy 3.33-3.60, 2 Er 3.63
Er 0.4022 0.5353 0.8669  2 Tl 3.19, 2 Dy 3.44, 2 Er 3.55
Er 0.6684 0.5353 0.1331  2 Tl 3.19, 2 Dy 3.44, 2 Er 3.55
Er 0.7213 0.3541 0.3672  2 Tl 3.05, 1 Dy 3.13
Er 0.9869 0.3541 0.6328  2 Tl 3.05, 1 Dy 3.13
Tl 0.1342 0.8765 0.2577  7 Er 3.05-3.37
Tl 0.6188 0.8765 0.7423  7 Er 3.05-3.37

---

# DyEr5Tl8

A relaxed DyEr5Tl8 crystal (PBE, Alexandria via LeMat-Bulk).

Properties
As for the space group: I-4 (82).

Cell: 7.9887 7.9887 7.9887 Å, 109.63 109.63 109.16°
With the nearest neighbours (Å) after each atom.
Sites, in units of the cell vectors:
Dy 0.0000 0.0000 0.0000  8 Tl 3.18-3.24
Er 0.2456 0.1192 0.6204  8 Tl 3.17-3.21
Er 0.3747 0.7544 0.8736  8 Tl 3.17-3.21
Er 0.4989 0.6253 0.3796  8 Tl 3.17-3.21
Er 0.7500 0.2500 0.5000  8 Tl 3.18-3.21
Er 0.8808 0.5011 0.1264  8 Tl 3.17-3.21
Tl 0.1255 0.3748 0.4162  5 Er 3.17-3.21, 1 Dy 3.18, 3 Tl 3.43-3.49
Tl 0.1297 0.3777 0.9134  5 Er 3.17-3.21, 1 Dy 3.24, 3 Tl 3.42-3.49
Tl 0.2907 0.8745 0.2493  5 Er 3.17-3.21, 1 Dy 3.18, 3 Tl 3.43-3.49
Tl 0.4643 0.2163 0.0866  5 Er 3.17-3.21, 1 Dy 3.24, 3 Tl 3.42-3.49
Tl 0.6223 0.5357 0.7520  5 Er 3.17-3.21, 1 Dy 3.24, 3 Tl 3.42-3.49
Tl 0.6252 0.0414 0.7507  5 Er 3.17-3.21, 1 Dy 3.18, 3 Tl 3.43-3.49
Tl 0.7837 0.8703 0.2480  5 Er 3.17-3.21, 1 Dy 3.24, 3 Tl 3.42-3.49
Tl 0.9586 0.7093 0.5838  5 Er 3.17-3.21, 1 Dy 3.18, 3 Tl 3.43-3.49

---

Number 1: energy relative to the elements -0.10 eV/atom. Number 2: energy relative to the elements -0.26 eV/atom. Number 3: energy relative to the elements -0.22 eV/atom. Number 4: energy relative to the elements -0.25 eV/atom. Number 5: energy relative to the elements -0.15 eV/atom. Number 6: energy relative to the elements -0.04 eV/atom. Number 7: energy relative to the elements -0.13 eV/atom. Number 8: energy relative to the elements -0.18 eV/atom. Number 9: energy relative to the elements -0.02 eV/atom. Number 10: energy relative to the elements -0.20 eV/atom.